Computed, not measured: a geometry-optimized Fe2Ni3SbP6O24 structure at the PBE+U level of DFT.

Calculated values
Its density of states at the Fermi level is 8.695 states/eV/f.u. Its total energy is -6.6002 eV per atom. As for the crystal system: trigonal.

```
data_Fe2Ni3SbP6O24
_chemical_formula_sum 'Fe6 Ni9 Sb3 P18 O72'
_space_group_name_H-M_alt 'R 3'
_space_group_IT_number 146
_space_group_name_Hall 'R 3'
_cell_length_a 8.6723
_cell_length_b 8.6723
_cell_length_c 20.4220
_cell_angle_alpha 90.00
_cell_angle_beta 90.00
_cell_angle_gamma 120.00
loop_
_atom_site_label
_atom_site_type_symbol
_atom_site_fract_x
_atom_site_fract_y
_atom_site_fract_z
_atom_site_occupancy
Fe1 Fe 0.0000 0.0000 0.0000 1
Fe2 Fe 0.0000 0.0000 0.4915 1
Ni1 Ni 0.0000 0.0000 0.1362 1
Ni2 Ni 0.0000 0.0000 0.3476 1
Ni3 Ni 0.0000 0.0000 0.6336 1
Sb1 Sb 0.0000 0.0000 0.8480 1
P1 P 0.0054 0.7064 0.2395 1
P2 P 0.0386 0.3657 0.4063 1
O1 O 0.0006 0.8273 0.5622 1
O2 O 0.0045 0.1759 0.4220 1
O3 O 0.0075 0.7997 0.3019 1
O4 O 0.0086 0.2052 0.8049 1
O5 O 0.0117 0.8371 0.9173 1
O6 O 0.1335 0.6752 0.8441 1
O7 O 0.1542 0.4553 0.3483 1
O8 O 0.1664 0.4798 0.7286 1
```